No. 1
Compound: Mg30CrCdO32
Source: Alexandria via LeMat-Bulk
Functional: meta-GGA SCAN
Structure: PBEsol geometry

Properties
Formation energy (no corrections) = -2.90 eV/atom
Volume = 612.0 Å³ per cell
Raw total energy = -9.108 eV per atom

Cell and atoms, written as extended XYZ:
```
64
Lattice="8.500 0.000 0.000 0.000 8.500 0.000 0.000 0.000 8.470" Properties=species:S:1:pos:R:3 pbc="T T T"
Mg 0.000 0.000 0.000
Mg 0.000 0.000 4.235
Mg 0.000 2.122 2.115
Mg 0.000 2.122 6.354
Mg 0.000 4.250 0.000
Mg 0.000 4.250 4.235
Mg 0.000 6.378 2.115
Mg 0.000 6.378 6.354
Mg 2.096 4.250 2.096
Mg 2.096 4.250 6.373
Mg 2.107 2.107 4.235
Mg 2.107 6.394 4.235
Mg 2.122 0.000 2.115
Mg 2.122 0.000 6.354
Mg 2.122 2.122 0.000
Mg 2.122 6.379 0.000
Mg 4.250 0.000 0.000
Mg 4.250 0.000 4.235
Mg 4.250 2.096 2.096
Mg 4.250 2.096 6.373
Mg 4.250 6.404 2.096
Mg 4.250 6.404 6.373
Mg 6.378 0.000 2.115
Mg 6.378 0.000 6.354
Mg 6.379 2.122 0.000
Mg 6.379 6.379 0.000
Mg 6.394 2.107 4.235
Mg 6.394 6.394 4.235
Mg 6.404 4.250 2.096
Mg 6.404 4.250 6.373
Cr 4.250 4.250 0.000
Cd 4.250 4.250 4.235
O 0.000 0.000 2.116
O 0.000 0.000 6.354
O 0.000 2.109 4.235
O 0.000 2.115 0.000
O 0.000 4.250 2.111
O 0.000 4.250 6.359
O 0.000 6.385 0.000
O 0.000 6.391 4.235
O 2.015 4.250 4.235
O 2.060 4.250 0.000
O 2.109 0.000 4.235
O 2.115 0.000 0.000
O 2.131 2.131 2.119
O 2.131 2.131 6.351
O 2.131 6.370 2.119
O 2.131 6.370 6.351
O 4.250 0.000 2.111
O 4.250 0.000 6.359
O 4.250 2.015 4.235
O 4.250 2.060 0.000
O 4.250 4.250 1.985
O 4.250 4.250 6.485
O 4.250 6.441 0.000
O 4.250 6.486 4.235
O 6.370 2.131 2.119
O 6.370 2.131 6.351
O 6.370 6.370 2.119
O 6.370 6.370 6.351
O 6.385 0.000 0.000
O 6.391 0.000 4.235
O 6.441 4.250 0.000
O 6.486 4.250 4.235
```

No. 2
Compound: Rb3TaGa
Source: Alexandria via LeMat-Bulk
Functional: meta-GGA SCAN
Structure: PBEsol geometry

Properties
ΔE_f = 7.91 eV per formula unit
Volume = 314.4 Å³ per cell
Raw total energy = -27.447 eV per atom

Cell and atoms, written as extended XYZ:
```
5
Lattice="6.800 0.000 0.000 0.000 6.800 0.000 0.000 0.000 6.800" Properties=species:S:1:pos:R:3 pbc="T T T"
Rb 0.000 0.000 3.400
Rb 0.000 3.400 0.000
Rb 3.400 0.000 0.000
Ta 0.000 0.000 0.000
Ga 3.400 3.400 3.400
```

No. 3
Compound: SnH10C3Br3N
Source: Alexandria via LeMat-Bulk
Functional: meta-GGA SCAN
Structure: PBEsol geometry

Properties
Volume = 490.4 Å³ per cell
Raw total energy = -9.728 eV per atom

Cell and atoms, written as extended XYZ:
```
36
Lattice="6.115 0.000 0.000 0.000 12.290 0.000 -0.660 0.000 6.526" Properties=species:S:1:pos:R:3 pbc="T T T"
Sn 0.319 0.000 0.158
Sn 5.135 6.145 6.368
H 0.697 8.905 3.675
H 1.200 8.051 2.163
H 1.158 3.819 4.756
H 1.313 2.182 4.005
H 1.906 3.369 1.908
H 1.833 4.947 2.768
H 1.960 10.316 2.255
H 2.071 7.747 3.724
H 2.110 10.599 4.621
H 2.234 2.576 5.505
H 3.221 8.721 1.021
H 3.345 4.454 1.905
H 3.383 1.602 2.802
H 3.495 4.171 4.271
H 3.622 11.092 3.758
H 3.548 9.514 4.618
H 4.142 8.327 2.521
H 4.296 9.965 1.770
H 4.254 1.906 4.363
H 4.757 2.759 2.851
C 1.546 8.494 3.108
C 1.836 2.977 4.561
C 2.483 4.104 2.490
C 2.971 10.249 4.036
C 3.618 9.122 1.965
C 3.908 2.349 3.418
Br 0.115 12.075 2.825
Br -0.234 9.617 6.364
Br 3.016 0.109 0.432
Br 2.438 6.254 6.094
Br 5.689 3.472 0.162
Br 5.339 5.930 3.701
N 2.488 9.596 2.797
N 2.966 3.451 3.729
```

No. 4
Compound: Cr2ReP
Source: Alexandria via LeMat-Bulk
Functional: meta-GGA SCAN
Structure: PBEsol geometry

Properties
ΔE_f = 0.28 eV per formula unit
Volume = 47.9 Å³ per cell
Raw total energy = -29.497 eV per atom

Cell and atoms, written as extended XYZ:
```
4
Lattice="4.036 0.000 0.000 0.000 4.036 0.000 0.000 0.000 2.942" Properties=species:S:1:pos:R:3 pbc="T T T"
Cr 0.000 2.018 0.000
Cr 2.018 0.000 0.000
Re 0.000 0.000 1.471
P 2.018 2.018 1.471
```

No. 5
Compound: Li4V2SiP2O12
Source: Alexandria via LeMat-Bulk
Functional: meta-GGA SCAN
Structure: PBEsol geometry

Properties
Formation energy (no corrections) = -2.61 eV/atom
Volume = 446.7 Å³ per cell
Raw total energy = -9.756 eV per atom

Cell and atoms, written as extended XYZ:
```
42
Lattice="7.040 -4.439 0.000 7.040 4.439 0.000 -4.254 0.000 7.148" Properties=species:S:1:pos:R:3 pbc="T T T"
Li 0.000 0.000 0.000
Li 3.744 1.842 0.630
Li 1.494 0.999 4.295
Li 2.500 -0.796 1.721
Li 6.081 1.842 6.518
Li 8.332 0.999 2.854
Li 4.913 -1.654 3.574
Li 7.326 -0.796 5.427
V -0.142 -0.796 2.780
V 5.022 -0.809 0.782
V 4.804 -0.809 6.366
V 9.967 -0.796 4.368
Si -1.310 0.507 5.687
Si 11.136 0.507 1.461
P 7.040 1.810 0.000
P 4.913 1.011 3.574
P 1.934 -2.143 5.029
P 7.892 -2.143 2.119
O -2.834 -0.024 5.509
O 1.065 0.750 2.225
O 2.175 2.739 6.052
O -0.360 0.112 4.427
O 3.719 1.863 4.014
O 3.384 -0.062 0.016
O 7.651 2.739 1.096
O 5.869 0.955 0.485
O 6.107 1.863 3.134
O 4.354 0.053 2.482
O 1.568 -1.572 3.622
O 3.957 0.955 6.663
O 0.993 -1.691 6.152
O 5.471 0.053 4.666
O 3.893 -2.304 1.338
O 3.382 -1.711 5.278
O 6.444 -1.711 1.870
O 8.761 0.750 4.924
O 6.442 -0.062 7.133
O 10.186 0.112 2.721
O 8.833 -1.691 0.996
O 8.257 -1.572 3.527
O 5.933 -2.304 5.810
O 12.659 -0.024 1.639
```

No. 6
Compound: Al3CrAg
Source: Alexandria via LeMat-Bulk
Functional: meta-GGA SCAN
Structure: PBEsol geometry

Properties
ΔE_f = 3.19 eV per formula unit
Volume = 96.7 Å³ per cell
Raw total energy = -13.964 eV per atom

Cell and atoms, written as extended XYZ:
```
5
Lattice="4.590 0.000 0.000 0.000 4.590 0.000 0.000 0.000 4.590" Properties=species:S:1:pos:R:3 pbc="T T T"
Al 0.000 0.000 2.295
Al 0.000 2.295 0.000
Al 2.295 0.000 0.000
Cr 0.000 0.000 0.000
Ag 2.295 2.295 2.295
```

No. 7
Compound: KNa2Sn2
Source: Alexandria via LeMat-Bulk
Functional: meta-GGA SCAN
Structure: PBEsol geometry

Properties
ΔE_f = -1.01 eV per formula unit
Volume = 298.5 Å³ per cell
Raw total energy = -17.923 eV per atom

Cell and atoms, written as extended XYZ:
```
10
Lattice="9.262 0.000 0.000 0.000 9.262 0.000 0.000 0.000 3.479" Properties=species:S:1:pos:R:3 pbc="T T T"
K 0.000 0.000 0.000
K 4.631 4.631 0.000
Na 1.671 2.960 1.740
Na 2.960 7.591 1.740
Na 6.303 1.671 1.740
Na 7.591 6.303 1.740
Sn 1.036 5.667 0.000
Sn 3.595 1.036 0.000
Sn 5.667 8.226 0.000
Sn 8.226 3.595 0.000
```

No. 8
Compound: Fe3Br
Source: Alexandria via LeMat-Bulk
Functional: meta-GGA SCAN
Structure: PBEsol geometry

Properties
Formation energy (no corrections) = 0.69 eV/atom
Volume = 53.2 Å³ per cell
Raw total energy = -17.768 eV per atom

Cell and atoms, written as extended XYZ:
```
4
Lattice="4.016 2.319 0.952 -4.016 2.319 0.952 0.000 -4.637 0.952" Properties=species:S:1:pos:R:3 pbc="T T T"
Fe -2.008 -1.159 0.952
Fe -2.008 1.159 1.904
Fe 0.000 2.319 0.952
Br 0.000 0.000 0.000
```

No. 9
Compound: Mn4AlW
Source: Alexandria via LeMat-Bulk
Functional: meta-GGA SCAN
Structure: PBEsol geometry

Properties
ΔE_f = -0.49 eV per formula unit
Volume = 70.8 Å³ per cell
Raw total energy = -25.158 eV per atom

Cell and atoms, written as extended XYZ:
```
6
Lattice="0.000 3.284 3.284 3.284 0.000 3.284 3.284 3.284 0.000" Properties=species:S:1:pos:R:3 pbc="T T T"
Mn 0.813 0.813 0.813
Mn 2.471 2.471 0.813
Mn 2.471 0.813 2.471
Mn 0.813 2.471 2.471
Al 4.925 4.925 4.925
W 3.284 3.284 3.284
```

No. 10
Compound: SrLi
Source: Alexandria via LeMat-Bulk
Functional: meta-GGA SCAN
Structure: PBEsol geometry

Properties
ΔE_f = 0.33 eV per formula unit
Volume = 77.9 Å³ per cell
Raw total energy = -12.168 eV per atom

Cell and atoms, written as extended XYZ:
```
2
Lattice="1.983 1.145 5.723 -1.983 1.145 5.723 0.000 -2.290 5.723" Properties=species:S:1:pos:R:3 pbc="T T T"
Sr 0.000 0.000 0.000
Li 0.000 0.000 8.584
```

No. 11
Compound: Sr2LiTl
Source: Alexandria via LeMat-Bulk
Functional: meta-GGA SCAN
Structure: PBEsol geometry

Properties
ΔE_f = -0.55 eV per formula unit
Volume = 147.4 Å³ per cell
Raw total energy = -29.961 eV per atom

Cell and atoms, written as extended XYZ:
```
4
Lattice="5.329 -2.018 0.000 5.329 2.018 0.000 -1.451 0.000 6.853" Properties=species:S:1:pos:R:3 pbc="T T T"
Sr 2.247 0.000 1.588
Sr 6.959 0.000 5.265
Li -0.726 0.000 3.427
Tl 5.329 0.000 0.000
```

No. 12
Compound: Zr2IrAu
Source: Alexandria via LeMat-Bulk
Functional: meta-GGA SCAN
Structure: PBEsol geometry

Properties
ΔE_f = -3.42 eV per formula unit
Volume = 72.2 Å³ per cell
Raw total energy = -51.269 eV per atom

Cell and atoms, written as extended XYZ:
```
4
Lattice="3.040 0.000 0.000 0.000 3.040 0.000 0.000 0.000 7.810" Properties=species:S:1:pos:R:3 pbc="T T T"
Zr 0.000 0.000 1.820
Zr 0.000 0.000 5.990
Ir 1.520 1.520 0.000
Au 1.520 1.520 3.905
```